(1)
VASP calculation (GGA-PBEsol) on a relaxed structure of Mg2ReBr.

The total energy comes out at -4.508 eV per atom. The value obtained for the total magnetic moment is 0.000 μB/atom. The value obtained for the energy relative to the lowest polymorph listed for this composition is 0.00 eV per formula unit.

The structure belongs to space group Cmmm (No. 65); the cell edges are 3.6536, 4.8424 and 8.3102 Å and the angles 90.00°, 90.00° and 90.00°. The distinct sites, in fractional coordinates, are Mg at (0.0000, 0.0000, 0.2354), Re at (0.0000, 0.5000, 0.0000) and Br at (0.0000, 0.5000, 0.5000).

***

(2)
VASP calculation (GGA-PBEsol) on a relaxed structure of MgRe3Br.

The total energy comes out at -5.591 eV per atom. The value obtained for the total magnetic moment is 0.000 μB/atom.

The structure belongs to space group Pm-3m (No. 221); the cell edges are 4.5415, 4.5415 and 4.5415 Å and the angles 90.00°, 90.00° and 90.00°. The distinct sites, in fractional coordinates, are Mg at (0.0000, 0.0000, 0.0000), Re at (0.0000, 0.0000, 0.5000) and Br at (0.5000, 0.5000, 0.5000).

***

(3)
VASP calculation (GGA-PBEsol) on a relaxed structure of Mg2ReBr.

The total energy comes out at -4.240 eV per atom. The value obtained for the total magnetic moment is 0.246 μB/atom. The value obtained for the energy relative to the lowest polymorph listed for this composition is 1.07 eV per formula unit.

The structure belongs to space group P4/mmm (No. 123); the cell edges are 4.9680, 4.9680 and 2.9890 Å and the angles 90.00°, 90.00° and 90.00°. The distinct sites, in fractional coordinates, are Mg at (0.0000, 0.5000, 0.0000), Re at (0.0000, 0.0000, 0.5000) and Br at (0.5000, 0.5000, 0.5000).

***

(4)
VASP calculation (GGA-PBEsol) on a relaxed structure of Mg2ReBr.

The total energy comes out at -4.117 eV per atom. The value obtained for the total magnetic moment is 0.000 μB/atom. The value obtained for the energy relative to the lowest polymorph listed for this composition is 1.56 eV per formula unit.

The structure belongs to space group P4mm (No. 99); the cell edges are 3.0686, 3.0686 and 8.3146 Å and the angles 90.00°, 90.00° and 90.00°. The distinct sites, in fractional coordinates, are Mg at (0.0000, 0.0000, 0.0000), Mg at (0.5000, 0.5000, 0.2815), Re at (0.0000, 0.0000, 0.5028) and Br at (0.5000, 0.5000, 0.6789).

***

Result set for raw formation energy: 0.60; 15.63; 1.68; 2.17 eV per formula unit, one per record in the order listed.